1.
YSeBr2 | PBE | optimized geometry

```
data_YSeBr2
_symmetry_space_group_name_H-M 'F -4 3 m'
_symmetry_Int_Tables_number 216
_symmetry_space_group_name_Hall 'F -4 2 3'
_cell_length_a 7.333
_cell_length_b 7.333
_cell_length_c 7.333
_cell_angle_alpha 90.00
_cell_angle_beta 90.00
_cell_angle_gamma 90.00
loop_
_atom_site_label
_atom_site_type_symbol
_atom_site_fract_x
_atom_site_fract_y
_atom_site_fract_z
Y1 Y 0.000 0.000 0.000
Se1 Se 0.250 0.250 0.750
Br1 Br 0.000 0.000 0.500
Br2 Br 0.250 0.250 0.250
```

volume: 24.6 Å³/atom
density of states at the Fermi level: 4.52 states/eV/f.u.
total magnetic moment: 0.00 μB per formula unit
E above lowest polymorph: 1.94 eV/f.u.
DFT total energy: -4.20 eV per atom
energy relative to the elements, uncorrected: -0.881 eV/atom

***

2.
BaCdPb2S4 | PBE | optimized geometry

```
data_BaCdPb2S4
_symmetry_space_group_name_H-M 'I m m a'
_symmetry_Int_Tables_number 74
_symmetry_space_group_name_Hall '-I 2b 2'
_cell_length_a 8.490
_cell_length_b 8.506
_cell_length_c 12.051
_cell_angle_alpha 90.00
_cell_angle_beta 90.00
_cell_angle_gamma 90.00
loop_
_atom_site_label
_atom_site_type_symbol
_atom_site_fract_x
_atom_site_fract_y
_atom_site_fract_z
Ba1 Ba 0.000 0.000 0.000
Cd1 Cd 0.250 0.250 0.250
Pb1 Pb 0.000 0.000 0.500
Pb2 Pb 0.250 0.250 0.750
S1 S 0.000 0.019 0.255
S2 S 0.240 0.250 0.496
```

volume: 27.2 Å³/atom
total magnetic moment: 0.00 μB per formula unit
DFT total energy: -4.19 eV per atom
energy relative to the elements, uncorrected: -0.846 eV/atom

***

3.
Dy3Er3Mg | PBE | optimized geometry

```
data_Dy3Er3Mg
_symmetry_space_group_name_H-M 'R -3'
_symmetry_Int_Tables_number 148
_symmetry_space_group_name_Hall '-R 3'
_cell_length_a 6.1052
_cell_length_b 6.1052
_cell_length_c 41.4287
_cell_angle_alpha 90.00
_cell_angle_beta 90.00
_cell_angle_gamma 120.00
loop_
_atom_site_label
_atom_site_type_symbol
_atom_site_fract_x
_atom_site_fract_y
_atom_site_fract_z
Dy1 Dy 0.0000 0.3360 0.4353
Er1 Er 0.9997 0.3325 0.6323
Mg1 Mg 0.0000 0.0000 0.1667
```

volume: 31.8 Å³/atom
DFT formation energy: 2.27 kcal/mol of atoms
density of states at the Fermi level: 10.30 states/eV/f.u.
total magnetic moment: 0.00 μB per formula unit
E above lowest polymorph: 0.59 eV/f.u.
DFT total energy: -4.06 eV per atom

***

4.
InSi2Sb | PBE | optimized geometry

```
data_InSi2Sb
_symmetry_space_group_name_H-M 'P 4/m m m'
_symmetry_Int_Tables_number 123
_symmetry_space_group_name_Hall '-P 4 2'
_cell_length_a 4.810
_cell_length_b 4.810
_cell_length_c 3.700
_cell_angle_alpha 90.00
_cell_angle_beta 90.00
_cell_angle_gamma 90.00
loop_
_atom_site_label
_atom_site_type_symbol
_atom_site_fract_x
_atom_site_fract_y
_atom_site_fract_z
In1 In 0.000 0.000 0.000
Si1 Si 0.000 0.500 0.500
Sb1 Sb 0.500 0.500 0.000
```

volume: 21.4 Å³/atom
density of states at the Fermi level: 2.00 states/eV/f.u.
total magnetic moment: 0.00 μB per formula unit
E above lowest polymorph: 1.12 eV/f.u.
DFT total energy: -3.91 eV per atom
energy relative to the elements, uncorrected: 0.520 eV/atom

***

5.
CdHgSeN2 | PBE | optimized geometry

```
data_CdHgSeN2
_symmetry_space_group_name_H-M 'P 4/m m m'
_symmetry_Int_Tables_number 123
_symmetry_space_group_name_Hall '-P 4 2'
_cell_length_a 4.295
_cell_length_b 4.295
_cell_length_c 6.035
_cell_angle_alpha 90.00
_cell_angle_beta 90.00
_cell_angle_gamma 90.00
loop_
_atom_site_label
_atom_site_type_symbol
_atom_site_fract_x
_atom_site_fract_y
_atom_site_fract_z
Cd1 Cd 0.000 0.000 0.000
Hg1 Hg 0.500 0.500 0.500
Se1 Se 0.000 0.000 0.500
N1 N 0.000 0.500 0.000
```

volume: 22.3 Å³/atom
density of states at the Fermi level: 2.71 states/eV/f.u.
total magnetic moment: 3.97 μB per formula unit
E above lowest polymorph: 0.00 eV/f.u.
DFT total energy: -2.70 eV per atom
energy relative to the elements, uncorrected: 1.568 eV/atom

***

6.
YTm2Al9 | PBE | optimized geometry

```
data_YTm2Al9
_symmetry_space_group_name_H-M 'P 4/m m m'
_symmetry_Int_Tables_number 123
_symmetry_space_group_name_Hall '-P 4 2'
_cell_length_a 4.237
_cell_length_b 4.237
_cell_length_c 12.706
_cell_angle_alpha 90.00
_cell_angle_beta 90.00
_cell_angle_gamma 90.00
loop_
_atom_site_label
_atom_site_type_symbol
_atom_site_fract_x
_atom_site_fract_y
_atom_site_fract_z
Y1 Y 0.000 0.000 0.000
Tm1 Tm 0.000 0.000 0.334
Al1 Al 0.000 0.500 0.169
Al2 Al 0.000 0.500 0.500
Al3 Al 0.500 0.500 0.000
Al4 Al 0.500 0.500 0.334
```

volume: 19.0 Å³/atom
DFT formation energy: -9.55 kcal/mol of atoms
density of states at the Fermi level: 4.95 states/eV/f.u.
total magnetic moment: 0.00 μB per formula unit
E above lowest polymorph: 0.00 eV/f.u.
DFT total energy: -4.50 eV per atom

***

7.
Sm12DySc3 | PBE | optimized geometry

```
data_Sm12DySc3
_symmetry_space_group_name_H-M 'P 4/m m m'
_symmetry_Int_Tables_number 123
_symmetry_space_group_name_Hall '-P 4 2'
_cell_length_a 5.028
_cell_length_b 5.028
_cell_length_c 20.056
_cell_angle_alpha 90.00
_cell_angle_beta 90.00
_cell_angle_gamma 90.00
loop_
_atom_site_label
_atom_site_type_symbol
_atom_site_fract_x
_atom_site_fract_y
_atom_site_fract_z
Sm1 Sm 0.000 0.000 0.000
Sm2 Sm 0.000 0.000 0.247
Sm3 Sm 0.000 0.000 0.500
Sm4 Sm 0.000 0.500 0.124
Sm5 Sm 0.000 0.500 0.371
Dy1 Dy 0.500 0.500 0.500
Sc1 Sc 0.500 0.500 0.000
Sc2 Sc 0.500 0.500 0.248
```

volume: 31.7 Å³/atom
DFT formation energy: 0.78 kcal/mol of atoms
density of states at the Fermi level: 23.43 states/eV/f.u.
total magnetic moment: 0.00 μB per formula unit
DFT total energy: -4.98 eV per atom